A plane-wave DFT calculation with PBE was carried out for NbGaPd after structural relaxation.

Values from the calculation:
Uncorrected energy, eV/atom: -6.546
Fermi-level density of states, states/eV per atom: 0.31
Space-group type: No. 107

a = 5.898 Å, b = 5.898 Å, c = 5.898 Å
α = 151.13°, β = 151.13°, γ = 41.29°
Fractional coordinates of all 3 atoms:
Nb: 0.000 0.000 0.000
Ga: 0.330 0.330 0.000
Pd: 0.682 0.682 0.000

***

A plane-wave DFT calculation with PBE was carried out for CoPtN2 after structural relaxation.

Values from the calculation:
Raw formation energy, eV per atom: 0.833
Fermi-level density of states, states/eV per atom: 1.23
Space-group type: No. 166

a = 6.026 Å, b = 6.026 Å, c = 6.026 Å
α = 29.90°, β = 29.90°, γ = 29.90°
Fractional coordinates of all 4 atoms:
Co: 0.000 0.000 0.000
Pt: 0.500 0.500 0.500
N: 0.104 0.104 0.104
N: 0.896 0.896 0.896

***

A plane-wave DFT calculation with PBE was carried out for HfCrIn2S6 after structural relaxation.

Values from the calculation:
Raw formation energy, eV per atom: -0.773
Fermi-level density of states, states/eV per atom: 0.43
Space-group type: No. 146

a = 6.915 Å, b = 6.915 Å, c = 6.915 Å
α = 55.95°, β = 55.95°, γ = 55.95°
Fractional coordinates of all 10 atoms:
Hf: 0.000 0.000 0.000
Cr: 0.499 0.499 0.499
In: 0.292 0.292 0.292
In: 0.797 0.797 0.797
S: 0.119 0.384 0.719
S: 0.226 0.876 0.612
S: 0.384 0.719 0.119
S: 0.612 0.226 0.876
S: 0.719 0.119 0.384
S: 0.876 0.612 0.226

***

Question: What is the Fermi-level density of states in the second record?
Answer: 1.23 states/eV per atom